Record 1
The following is a PBE calculation of a relaxed ErNbRu crystal, from Alexandria via LeMat-Bulk.

Results
The calculation puts the energy above the most stable polymorph in this dataset at 0.0681 eV/atom. As for the total energy: -8.148 eV per atom. For the volume, the calculation gives 57.90 Å³/f.u. As for the symmetry: I4mm, No. 107. The energy of formation is -178 meV per atom. The value obtained for the size of the total moment is 0.00 μB per atom.

abc: 3.268 3.268 5.893
angles: 106.10 106.10 90.00
Fractional coordinates of all 3 atoms:
Ru1 0.682 0.682 0.365
Nb1 0.311 0.311 0.623
Er1 0.006 0.006 0.013

Record 2
The following is a PBE calculation of a relaxed Er5NbRu6 crystal, from Alexandria via LeMat-Bulk.

Results
As for the total energy: -7.784 eV per atom. For the volume, the calculation gives 222.75 Å³/f.u. As for the symmetry: Immm, No. 71. The energy of formation is -406 meV per atom. The value obtained for the size of the total moment is 0.00 μB per atom.

abc: 4.725 6.700 8.142
angles: 65.70 73.16 90.00
Fractional coordinates of all 12 atoms:
Ru1 0.842 0.602 0.317
Ru2 0.842 0.081 0.317
Ru3 0.500 0.769 0.000
Ru4 0.500 0.231 0.000
Ru5 0.158 0.919 0.683
Ru6 0.158 0.398 0.683
Nb1 0.000 0.000 0.000
Er1 0.668 0.168 0.664
Er2 0.335 0.335 0.331
Er3 0.000 0.500 0.000
Er4 0.665 0.665 0.669
Er5 0.332 0.832 0.336

Record 3
The following is a PBE calculation of a relaxed Er4NbRu5 crystal, from Alexandria via LeMat-Bulk.

Results
As for the total energy: -7.869 eV per atom. For the volume, the calculation gives 184.59 Å³/f.u. As for the symmetry: P4/mmm, No. 123. The energy of formation is -399 meV per atom. The value obtained for the size of the total moment is 0.00 μB per atom.

abc: 3.312 3.312 16.832
angles: 90.00 90.00 90.00
Fractional coordinates of all 10 atoms:
Er1 0.000 0.000 0.199
Er2 0.000 0.000 0.399
Er3 0.000 0.000 0.601
Er4 0.000 0.000 0.801
Nb1 0.000 0.000 0.000
Ru1 0.500 0.500 0.088
Ru2 0.500 0.500 0.296
Ru3 0.500 0.500 0.500
Ru4 0.500 0.500 0.704
Ru5 0.500 0.500 0.912

Record 4
The following is a PBE calculation of a relaxed ErNb2Ru3 crystal, from Alexandria via LeMat-Bulk.

Results
As for the total energy: -9.088 eV per atom. For the volume, the calculation gives 102.62 Å³/f.u. As for the symmetry: P4/mmm, No. 123. The energy of formation is -333 meV per atom. The value obtained for the size of the total moment is 0.00 μB per atom.

abc: 3.211 3.211 9.951
angles: 90.00 90.00 90.00
Fractional coordinates of all 6 atoms:
Er1 0.500 0.500 0.500
Nb1 0.500 0.500 0.840
Nb2 0.500 0.500 0.160
Ru1 0.000 0.000 0.000
Ru2 0.000 0.000 0.690
Ru3 0.000 0.000 0.310

Record 5
The following is a PBE calculation of a relaxed Er2NbRu3 crystal, from Alexandria via LeMat-Bulk.

Results
As for the total energy: -8.258 eV per atom. For the volume, the calculation gives 108.37 Å³/f.u. As for the symmetry: Cmmm, No. 65. The energy of formation is -421 meV per atom. The value obtained for the size of the total moment is 0.00 μB per atom.

abc: 4.659 7.353 6.671
angles: 90.00 90.00 71.53
Fractional coordinates of all 12 atoms:
Er1 0.000 0.000 0.000
Er2 0.000 0.000 0.500
Er3 0.334 0.332 0.500
Er4 0.666 0.668 0.500
Nb1 0.333 0.335 0.000
Nb2 0.667 0.665 0.000
Ru1 0.827 0.345 0.771
Ru2 0.500 0.000 0.235
Ru3 0.173 0.655 0.229
Ru4 0.827 0.345 0.229
Ru5 0.173 0.655 0.771
Ru6 0.500 0.000 0.765

Record 6
The following is a PBE calculation of a relaxed ErNbRu crystal, from Alexandria via LeMat-Bulk.

Results
The calculation puts the energy above the most stable polymorph in this dataset at 0.0000 eV/atom. As for the total energy: -8.216 eV per atom. For the volume, the calculation gives 60.75 Å³/f.u. As for the symmetry: Amm2, No. 38. The energy of formation is -246 meV per atom. The value obtained for the size of the total moment is 0.00 μB per atom.

abc: 6.714 8.176 8.176
angles: 69.73 65.76 65.76
Fractional coordinates of all 18 atoms:
Er1 0.257 0.960 0.460
Er2 0.677 0.040 0.540
Er3 0.677 0.540 0.040
Er4 0.257 0.460 0.960
Er5 0.837 0.250 0.750
Er6 0.837 0.750 0.250
Nb1 0.507 0.500 0.500
Nb2 0.507 0.000 0.000
Nb3 0.256 0.876 0.876
Nb4 0.009 0.124 0.124
Nb5 0.009 0.624 0.624
Nb6 0.256 0.376 0.376
Ru1 0.257 0.750 0.250
Ru2 0.256 0.250 0.750
Ru3 0.590 0.667 0.667
Ru4 0.923 0.333 0.333
Ru5 0.923 0.833 0.833
Ru6 0.590 0.167 0.167

Record 7
The following is a PBE calculation of a relaxed ErNb3Ru4 crystal, from Alexandria via LeMat-Bulk.

Results
As for the total energy: -9.245 eV per atom. For the volume, the calculation gives 133.83 Å³/f.u. As for the symmetry: P4/mmm, No. 123. The energy of formation is -261 meV per atom. The value obtained for the size of the total moment is 0.00 μB per atom.

abc: 4.591 6.350 9.181
angles: 90.00 90.00 90.00
Fractional coordinates of all 16 atoms:
Ru1 0.500 0.759 0.000
Ru2 0.500 0.759 0.500
Ru3 0.500 0.241 0.000
Ru4 0.500 0.241 0.500
Ru5 0.000 0.759 0.750
Ru6 0.000 0.759 0.250
Ru7 0.000 0.241 0.250
Ru8 0.000 0.241 0.750
Nb1 0.000 0.000 0.000
Nb2 0.000 0.000 0.500
Nb3 0.500 0.000 0.750
Nb4 0.500 0.000 0.250
Nb5 0.500 0.500 0.750
Nb6 0.500 0.500 0.250
Er1 0.000 0.500 0.000
Er2 0.000 0.500 0.500

Record 8
The following is a PBE calculation of a relaxed ErNb2Ru crystal, from Alexandria via LeMat-Bulk.

Results
As for the total energy: -8.081 eV per atom. For the volume, the calculation gives 78.53 Å³/f.u. As for the symmetry: R-3m, No. 166. The energy of formation is 413 meV per atom. The value obtained for the size of the total moment is 0.00 μB per atom.

abc: 2.956 2.956 10.520
angles: 81.92 81.92 60.00
Fractional coordinates of all 4 atoms:
Ru1 0.500 0.500 0.500
Nb1 0.097 0.097 0.709
Nb2 0.903 0.903 0.291
Er1 0.000 0.000 0.000

Record 9
The following is a PBE calculation of a relaxed ErNbRu4 crystal, from Alexandria via LeMat-Bulk.

Results
As for the total energy: -8.765 eV per atom. For the volume, the calculation gives 100.06 Å³/f.u. As for the symmetry: F-43m, No. 216. The energy of formation is -142 meV per atom. The value obtained for the size of the total moment is 0.00 μB per atom.

abc: 5.211 5.211 5.211
angles: 60.00 60.00 60.00
Fractional coordinates of all 6 atoms:
Ru1 0.625 0.625 0.125
Ru2 0.625 0.125 0.625
Ru3 0.625 0.625 0.625
Ru4 0.125 0.625 0.625
Nb1 0.250 0.250 0.250
Er1 0.000 0.000 0.000

Record 10
The following is a PBE calculation of a relaxed ErNb4Ru5 crystal, from Alexandria via LeMat-Bulk.

Results
As for the total energy: -9.393 eV per atom. For the volume, the calculation gives 167.25 Å³/f.u. As for the symmetry: P4/mmm, No. 123. The energy of formation is -271 meV per atom. The value obtained for the size of the total moment is 0.00 μB per atom.

abc: 3.135 3.135 17.016
angles: 90.00 90.00 90.00
Fractional coordinates of all 10 atoms:
Er1 0.000 0.000 0.000
Nb1 0.000 0.000 0.206
Nb2 0.000 0.000 0.402
Nb3 0.000 0.000 0.598
Nb4 0.000 0.000 0.794
Ru1 0.500 0.500 0.118
Ru2 0.500 0.500 0.307
Ru3 0.500 0.500 0.500
Ru4 0.500 0.500 0.693
Ru5 0.500 0.500 0.882

Record 11
The following is a PBE calculation of a relaxed Er2NbSi2Ru5 crystal, from Alexandria via LeMat-Bulk.

Results
As for the total energy: -8.317 eV per atom. For the volume, the calculation gives 162.64 Å³/f.u. The calculation puts the formation energy (no corrections) at -0.6745 eV per atom. As for the symmetry: P4/mbm, No. 127. The value obtained for the size of the total moment is 0.00 μB per atom.

abc: 3.232 10.032 10.032
angles: 90.00 90.00 90.00
Fractional coordinates of all 20 atoms:
Er1 0.000 0.673 0.173
Er2 0.000 0.327 0.827
Er3 0.000 0.173 0.327
Er4 0.000 0.827 0.673
Nb1 0.000 0.000 0.000
Nb2 0.000 0.500 0.500
Si1 0.000 0.126 0.626
Si2 0.000 0.874 0.374
Si3 0.000 0.626 0.874
Si4 0.000 0.374 0.126
Ru1 0.500 0.208 0.068
Ru2 0.500 0.792 0.932
Ru3 0.500 0.068 0.792
Ru4 0.500 0.708 0.432
Ru5 0.500 0.932 0.208
Ru6 0.500 0.292 0.568
Ru7 0.500 0.568 0.708
Ru8 0.500 0.432 0.292
Ru9 0.500 0.500 0.000
Ru10 0.500 0.000 0.500

Record 12
The following is a PBE calculation of a relaxed ErNbTcRu crystal, from Alexandria via LeMat-Bulk.

Results
As for the total energy: -8.811 eV per atom. For the volume, the calculation gives 69.85 Å³/f.u. As for the symmetry: F-43m, No. 216. The energy of formation is -243 meV per atom. The value obtained for the size of the total moment is 0.00 μB per atom.

abc: 4.623 4.623 4.623
angles: 60.00 60.00 60.00
Fractional coordinates of all 4 atoms:
Ru1 0.750 0.750 0.750
Nb1 0.500 0.500 0.500
Tc1 0.250 0.250 0.250
Er1 0.000 0.000 0.000